YHfCo4, optimized geometry, DFT PBE; formation energy from the elements = -0.23 eV per atom; E_tot = -46.205 eV/cell; total magnetization = 0.4831 μB per atom
1.0
-2.631 -2.936 3.019
2.328 -3.196 3.004
0.056 0.791 4.902
Y Co Hf
1 4 1
Direct
0.250 0.250 0.250
0.626 0.626 0.123
0.626 0.123 0.626
0.626 0.626 0.626
0.123 0.626 0.626
0.000 0.000 0.000

=====

LaPr6Sm2Y, optimized geometry, DFT PBE; formation energy from the elements = 0.11 eV per atom; E_tot = -96.838 eV/cell; total magnetization = 0.0000 μB per atom
1.0
9.437 -2.183 -2.265
0.800 8.809 -2.117
0.800 -2.442 8.724
La Pr Sm Y
2 12 4 2
Direct
0.250 0.405 0.595
0.750 0.595 0.405
0.054 0.116 0.758
0.446 0.242 0.884
0.946 0.884 0.242
0.554 0.758 0.116
0.316 0.979 0.430
0.184 0.570 0.021
0.684 0.021 0.570
0.816 0.430 0.979
0.120 0.706 0.497
0.380 0.503 0.294
0.880 0.294 0.503
0.620 0.497 0.706
0.456 0.809 0.709
0.044 0.291 0.191
0.544 0.191 0.291
0.956 0.709 0.809
0.250 0.974 0.026
0.750 0.026 0.974

=====

Ce4Gd2C, optimized geometry, DFT PBE; formation energy from the elements = 0.17 eV per atom; E_tot = -59.918 eV/cell; total magnetization = 2.4131 μB per atom
1.0
-0.556 -4.600 1.678
-0.803 -1.580 -4.598
7.520 -4.435 -2.430
C Gd Ce
1 2 4
Direct
0.000 0.000 0.000
0.339 0.339 0.321
0.661 0.661 0.679
0.142 0.142 0.715
0.858 0.858 0.285
0.000 0.500 0.000
0.500 0.000 0.000

=====

MgBi2RuO6, optimized geometry, DFT PBE; formation energy from raw total energies = -1408 meV per atom; E_tot = -124.931 eV/cell; total magnetization = 0.2019 μB per atom
1.0
5.519 0.000 -0.079
0.000 5.801 0.000
-0.065 0.000 7.953
Mg Bi Ru O
2 4 2 12
Direct
0.500 0.000 0.000
0.000 0.500 0.500
0.004 0.935 0.269
0.504 0.565 0.769
0.996 0.065 0.731
0.496 0.435 0.231
0.500 0.000 0.500
0.000 0.500 0.000
0.321 0.681 0.026
0.821 0.819 0.526
0.679 0.319 0.974
0.179 0.181 0.474
0.309 0.719 0.444
0.809 0.781 0.944
0.691 0.281 0.556
0.191 0.219 0.056
0.899 0.535 0.246
0.399 0.965 0.746
0.101 0.465 0.754
0.601 0.035 0.254

=====

K2BeZn, optimized geometry, DFT PBE; ΔE to the lowest computed polymorph = 8 meV/atom; formation energy from the elements = 0.38 eV per atom; E_tot = -5.677 eV/cell; total magnetization = 0.0000 μB per atom
1.0
-0.585 -4.062 1.748
2.342 1.873 5.135
-3.540 2.322 4.212
Be Zn K
1 1 2
Direct
0.500 0.624 0.626
0.000 0.626 0.624
0.000 0.959 0.958
0.500 0.291 0.293

=====

AgS6F2, optimized geometry, DFT PBE; formation energy from raw total energies = -302 meV per atom; E_tot = -34.081 eV/cell; total magnetization = 0.1029 μB per atom
1.0
-1.562 -2.205 3.299
-7.163 -0.757 -1.329
3.614 -5.085 -3.443
Ag S F
1 6 2
Direct
0.000 0.000 0.000
0.807 0.522 0.232
0.193 0.478 0.768
0.828 0.717 0.710
0.036 0.249 0.542
0.964 0.751 0.458
0.172 0.283 0.290
0.441 0.811 0.065
0.559 0.189 0.935

=====

ScCrSn2, optimized geometry, DFT PBE; ΔE to the lowest computed polymorph = 35 meV/atom; formation energy from the elements = 0.11 eV per atom; E_tot = -23.518 eV/cell; total magnetization = 0.0000 μB per atom
1.0
-3.751 -1.438 2.589
-4.412 0.302 -1.812
-2.361 -3.973 -1.216
Sc Cr Sn
1 1 2
Direct
0.000 0.000 0.000
0.500 0.500 0.500
0.250 0.250 0.250
0.750 0.750 0.750

=====

CoRuPt2, optimized geometry, DFT PBE; ΔE to the lowest computed polymorph = 6 meV/atom; formation energy from the elements = 0.01 eV per atom; E_tot = -28.427 eV/cell; total magnetization = 0.3495 μB per atom
1.0
-0.929 -2.454 -0.706
1.599 -1.145 1.876
-5.567 0.632 5.130
Ru Co Pt
1 1 2
Direct
0.000 0.000 0.521
0.500 0.500 0.738
0.000 0.000 0.981
0.500 0.500 0.260

=====

BaMnIr, optimized geometry, DFT PBE; ΔE to the lowest computed polymorph = 544 meV/atom; formation energy from the elements = 0.56 eV per atom; E_tot = -18.279 eV/cell; total magnetization = 1.4128 μB per atom
1.0
0.000 3.436 3.436
3.436 0.000 3.436
3.436 3.436 0.000
Ir Ba Mn
1 1 1
Direct
0.500 0.500 0.500
0.750 0.750 0.750
0.250 0.250 0.250

=====

TlSiHg2, optimized geometry, DFT PBE; formation energy from raw total energies = 269 meV per atom; E_tot = -7.317 eV/cell; total magnetization = 0.0000 μB per atom
1.0
7.524 0.170 0.026
6.747 3.335 0.026
1.460 0.359 4.341
Hg Si Tl
2 1 1
Direct
0.000 0.000 0.000
0.816 0.816 0.679
0.495 0.495 0.505
0.189 0.189 0.316

=====

Sm3Hg4, optimized geometry, DFT PBE; formation energy from the elements = -0.34 eV per atom; E_tot = -17.723 eV/cell; total magnetization = 0.0000 μB per atom
1.0
0.004 -3.129 4.127
4.486 -1.458 2.140
1.236 5.537 7.447
Sm Hg
3 4
Direct
0.243 0.243 0.270
0.757 0.757 0.730
0.000 0.000 0.000
0.624 0.624 0.127
0.874 0.874 0.379
0.126 0.126 0.621
0.376 0.376 0.873

=====

Sr2Li3ScSb4, optimized geometry, DFT PBE; formation energy from raw total energies = -787 meV per atom; E_tot = -39.800 eV/cell; total magnetization = 0.0000 μB per atom
1.0
4.764 0.000 0.000
0.000 4.764 0.000
0.000 0.000 11.589
Sr Li Sc Sb
2 3 1 4
Direct
0.500 0.000 0.225
0.000 0.500 0.775
0.000 0.000 0.500
0.500 0.000 0.877
0.000 0.500 0.123
0.500 0.500 0.500
0.500 0.500 0.000
0.000 0.000 0.000
0.500 0.000 0.642
0.000 0.500 0.358